#i
A geometry-optimized Pd6Pb3Au structure. Source: Alexandria via LeMat-Bulk, functional GGA-PBE.

Properties
density of states at the Fermi level = 12.10 states/eV per cell

Cell: 8.2399 4.7395 10.1297 Å, 90.00 109.35 90.00°
Fractional positions:
Pd: 0.0007 0.2500 0.3330
Pd: 0.0186 0.2500 0.8330
Pd: 0.1883 0.2500 0.6367
Pd: 0.2180 0.7500 0.9823
Pd: 0.3761 0.7500 0.7693
Pd: 0.3875 0.2500 0.4238
Pd: 0.6125 0.7500 0.5762
Pd: 0.6239 0.2500 0.2307
Pd: 0.7820 0.2500 0.0177
Pd: 0.8117 0.7500 0.3633
Pd: 0.9814 0.7500 0.1670
Pd: 0.9993 0.7500 0.6670
Pb: 0.1579 0.2500 0.1269
Pb: 0.1901 0.7500 0.4733
Pb: 0.4485 0.7500 0.2749
Pb: 0.5515 0.2500 0.7251
Pb: 0.8099 0.2500 0.5267
Pb: 0.8421 0.7500 0.8731
Au: 0.3929 0.2500 0.9442
Au: 0.6071 0.7500 0.0558

#ii
A geometry-optimized Pd6Pb3Au structure. Source: Alexandria via LeMat-Bulk, functional GGA-PBE.

Properties
density of states at the Fermi level = 8.36 states/eV per cell

Cell: 8.9008 8.9008 4.9781 Å, 90.00 90.00 99.36°
Fractional positions:
Pd: 0.0067 0.4173 0.7635
Pd: 0.0498 0.9502 0.5000
Pd: 0.2599 0.7401 0.5493
Pd: 0.3188 0.4327 0.6435
Pd: 0.4173 0.0067 0.2635
Pd: 0.4327 0.3188 0.1435
Pd: 0.5673 0.6812 0.6435
Pd: 0.5827 0.9933 0.7635
Pd: 0.6812 0.5673 0.1435
Pd: 0.7401 0.2599 0.0493
Pd: 0.9502 0.0498 0.0000
Pd: 0.9933 0.5827 0.2635
Pb: 0.1124 0.3070 0.2402
Pb: 0.3070 0.1124 0.7402
Pb: 0.3697 0.6303 0.0907
Pb: 0.6303 0.3697 0.5907
Pb: 0.6930 0.8876 0.2402
Pb: 0.8876 0.6930 0.7402
Au: 0.1542 0.8458 0.0320
Au: 0.8458 0.1542 0.5320

Unit: meV/atom. Relative energies: #i 0; #ii 51.

#i
A geometry-optimized Pd3Pb2Au structure. Source: Alexandria via LeMat-Bulk, functional GGA-PBE.

Properties
density of states at the Fermi level = 10.03 states/eV per cell

Cell: 7.4973 7.4973 12.4092 Å, 90.00 90.00 136.28°
Fractional positions:
Pd: 0.0294 0.9706 0.8937
Pd: 0.1254 0.8746 0.4540
Pd: 0.1385 0.3615 0.7500
Pd: 0.3615 0.1385 0.2500
Pd: 0.3746 0.6254 0.9540
Pd: 0.4706 0.5294 0.3937
Pd: 0.5294 0.4706 0.6063
Pd: 0.6254 0.3746 0.0460
Pd: 0.6385 0.8615 0.7500
Pd: 0.8615 0.6385 0.2500
Pd: 0.8746 0.1254 0.5460
Pd: 0.9706 0.0294 0.1063
Pb: 0.0550 0.9450 0.6598
Pb: 0.1825 0.8175 0.0569
Pb: 0.3175 0.6825 0.5569
Pb: 0.4450 0.5550 0.1598
Pb: 0.5550 0.4450 0.8402
Pb: 0.6825 0.3175 0.4431
Pb: 0.8175 0.1825 0.9431
Pb: 0.9450 0.0550 0.3402
Au: 0.2172 0.7827 0.8052
Au: 0.2828 0.7173 0.3052
Au: 0.7173 0.2828 0.6948
Au: 0.7827 0.2172 0.1948

#ii
A geometry-optimized Pd3Pb2Au structure. Source: Alexandria via LeMat-Bulk, functional GGA-PBE.

Properties
density of states at the Fermi level = 6.60 states/eV per cell

Cell: 6.2706 6.2706 8.0542 Å, 108.61 108.61 54.50°
Fractional positions:
Pd: 0.2329 0.7671 0.7500
Pd: 0.3629 0.3664 0.9328
Pd: 0.3664 0.3629 0.4328
Pd: 0.6336 0.6371 0.5672
Pd: 0.6371 0.6336 0.0672
Pd: 0.7671 0.2329 0.2500
Pb: 0.1669 0.1736 0.5869
Pb: 0.1736 0.1669 0.0869
Pb: 0.8264 0.8331 0.9131
Pb: 0.8331 0.8264 0.4131
Au: 0.2655 0.7345 0.2500
Au: 0.7345 0.2655 0.7500

Unit: meV/atom. Relative energies: #i 0; #ii 23.

#i
A geometry-optimized Pd4PbAu structure. Source: Alexandria via LeMat-Bulk, functional GGA-PBE.

Properties
density of states at the Fermi level = 3.03 states/eV per cell

Cell: 4.9345 4.9345 5.9581 Å, 106.46 106.46 48.30°
Fractional positions:
Pd: 0.1647 0.1647 0.3281
Pd: 0.1690 0.1690 0.8379
Pd: 0.8310 0.8310 0.1621
Pd: 0.8353 0.8353 0.6719
Pb: 0.5000 0.5000 0.5000
Au: 0.5000 0.5000 0.0000

#ii
A geometry-optimized Pd4PbAu structure. Source: Alexandria via LeMat-Bulk, functional GGA-PBE.

Properties
density of states at the Fermi level = 8.86 states/eV per cell

Cell: 5.3689 5.3689 5.3689 Å, 60.00 60.00 60.00°
Fractional positions:
Pd: 0.1254 0.1254 0.1254
Pd: 0.1254 0.1254 0.6239
Pd: 0.1254 0.6239 0.1254
Pd: 0.6239 0.1254 0.1254
Pb: 0.7500 0.7500 0.7500
Au: 0.5000 0.5000 0.5000

Unit: meV/atom. Relative energies: #i 0; #ii 169.

#i
A geometry-optimized Pd3PbAu4 structure. Source: Alexandria via LeMat-Bulk, functional GGA-PBE.

Properties
density of states at the Fermi level = 5.01 states/eV per cell

Cell: 8.9553 8.9553 4.1205 Å, 103.01 103.01 26.68°
Fractional positions:
Pd: 0.0000 0.0000 0.0000
Pd: 0.2489 0.2489 0.2487
Pd: 0.7511 0.7511 0.7513
Pb: 0.5000 0.5000 0.5000
Au: 0.1337 0.1337 0.6353
Au: 0.3658 0.3658 0.8644
Au: 0.6342 0.6342 0.1356
Au: 0.8663 0.8663 0.3647

#ii
A geometry-optimized Pd3PbAu4 structure. Source: Alexandria via LeMat-Bulk, functional GGA-PBE.

Properties
density of states at the Fermi level = 3.47 states/eV per cell

Cell: 9.0610 9.0610 4.3417 Å, 103.51 103.51 24.30°
Fractional positions:
Pd: 0.0000 0.0000 0.0000
Pd: 0.1235 0.1235 0.6222
Pd: 0.8765 0.8765 0.3777
Pb: 0.5000 0.5000 0.5000
Au: 0.2497 0.2497 0.2499
Au: 0.3715 0.3715 0.8728
Au: 0.6285 0.6285 0.1272
Au: 0.7503 0.7503 0.7501

Unit: meV/atom. Relative energies: #i 45; #ii 0.